# SiSn3As | Alexandria | GGA-PBE | optimized geometry
data_SiSn3As
_symmetry_space_group_name_H-M 'P m -3 m'
_symmetry_Int_Tables_number 221
_symmetry_space_group_name_Hall '-P 4 2 3'
_cell_length_a 5.190
_cell_length_b 5.190
_cell_length_c 5.190
_cell_angle_alpha 90.00
_cell_angle_beta 90.00
_cell_angle_gamma 90.00
loop_
_atom_site_label
_atom_site_type_symbol
_atom_site_fract_x
_atom_site_fract_y
_atom_site_fract_z
_atom_site_occupancy
Si1 Si 0.000 0.000 0.000 1
Sn1 Sn 0.000 0.000 0.500 1
As1 As 0.500 0.500 0.500 1
# - Formation energy from raw total energies: 13.02 kcal/mol of atoms
# - Energy relative to the lowest polymorph listed for this composition: 0.0000 eV per atom
# - VASP energy: -3.85 eV/atom

***

# SiSnAs3 | Alexandria | GGA-PBE | optimized geometry
data_SiSnAs3
_symmetry_space_group_name_H-M 'P m -3 m'
_symmetry_Int_Tables_number 221
_symmetry_space_group_name_Hall '-P 4 2 3'
_cell_length_a 4.839
_cell_length_b 4.839
_cell_length_c 4.839
_cell_angle_alpha 90.00
_cell_angle_beta 90.00
_cell_angle_gamma 90.00
loop_
_atom_site_label
_atom_site_type_symbol
_atom_site_fract_x
_atom_site_fract_y
_atom_site_fract_z
_atom_site_occupancy
Si1 Si 0.000 0.000 0.000 1
Sn1 Sn 0.500 0.500 0.500 1
As1 As 0.000 0.000 0.500 1
# - Formation energy from raw total energies: 10.90 kcal/mol of atoms
# - Energy relative to the lowest polymorph listed for this composition: 0.0000 eV per atom
# - VASP energy: -4.20 eV/atom